8
Lattice="4.700 0.000 0.000 0.000 4.460 0.000 0.000 0.000 6.503" Properties=species:S:1:pos:R:3 comment="YAsPdO, relaxed, DFT GGA-PBE" spacegroup=Pmc2_1 pbc="T T T"
Y 0.000 0.924 0.000
Y 0.000 3.536 3.252
As 2.350 0.641 4.523
As 2.350 3.819 1.271
Pd 2.350 1.604 2.263
Pd 2.350 2.856 5.515
O 0.000 1.469 2.228
O 0.000 2.991 5.479

=====

8
Lattice="4.335 0.000 0.000 0.000 5.415 0.000 0.000 0.000 5.266" Properties=species:S:1:pos:R:3 comment="ZnAsPdO, relaxed, DFT GGA-PBE" spacegroup=Pmc2_1 pbc="T T T"
Zn 0.000 0.995 0.000
Zn 0.000 4.420 2.633
As 2.168 1.850 4.501
As 2.168 3.564 1.868
Pd 2.168 1.040 2.104
Pd 2.168 4.375 4.737
O 0.000 0.889 1.973
O 0.000 4.526 4.606

=====

8
Lattice="4.054 0.000 0.000 0.000 4.054 0.000 0.000 0.000 8.693" Properties=species:S:1:pos:R:3 comment="ZnAsPdO, relaxed, DFT GGA-PBE" spacegroup=P4/nmm pbc="T T T"
Zn 1.013 1.013 0.261
Zn 3.040 3.040 8.432
As 1.013 1.013 2.938
As 3.040 3.040 5.755
Pd 1.013 3.040 4.347
Pd 3.040 1.013 4.347
O 1.013 3.040 0.000
O 3.040 1.013 0.000

=====

8
Lattice="3.883 0.000 0.000 0.000 3.883 0.000 0.000 0.000 8.105" Properties=species:S:1:pos:R:3 comment="ZnAsPdO, relaxed, DFT GGA-PBE" spacegroup=P4/nmm pbc="T T T"
Zn 0.971 2.912 0.000
Zn 2.912 0.971 0.000
As 0.971 0.971 1.732
As 2.912 2.912 6.373
Pd 0.971 0.971 4.927
Pd 2.912 2.912 3.178
O 0.971 2.912 4.052
O 2.912 0.971 4.052

=====

8
Lattice="3.259 0.000 0.000 0.000 6.286 0.000 0.000 0.000 6.210" Properties=species:S:1:pos:R:3 comment="ZnAsPdO, relaxed, DFT GGA-PBE" spacegroup=Pmc2_1 pbc="T T T"
Zn 0.000 0.535 0.000
Zn 0.000 5.752 3.105
As 0.000 1.893 3.066
As 0.000 4.393 6.171
Pd 1.629 3.146 1.512
Pd 1.629 3.141 4.617
O 1.629 1.580 6.173
O 1.629 4.706 3.068

=====

8
Lattice="3.700 0.000 0.000 0.000 6.374 0.000 0.000 0.000 5.606" Properties=species:S:1:pos:R:3 comment="ZrAsPdO, relaxed, DFT GGA-PBE" spacegroup=Pmc2_1 pbc="T T T"
Zr 0.000 1.221 0.000
Zr 0.000 5.153 2.803
As 0.000 1.979 2.814
As 0.000 4.395 0.011
Pd 1.850 3.166 4.177
Pd 1.850 3.208 1.374
O 1.850 0.509 0.296
O 1.850 5.865 3.099

=====

Values for E, eV per atom, ordered as above
-6.730 -4.390 -4.604 -3.912 -4.481 -7.155
Values for energy relative to the lowest polymorph listed for this composition, kcal/mol of atoms, ordered as above
9.21 4.95 0.00 15.95 2.84 3.07